Entry 1:
Density functional theory data (PBE) for CaScSb2 after structural relaxation.

a b c (Å): 7.8922 8.0598 3.3770
angles (deg): 90.00 100.51 90.00
Space group C2/m (No. 12)
Unique sites:
1 Ca 0.0000 0.0000 0.0000 (multiplicity 2)
2 Sc 0.0000 0.5000 0.0000 (multiplicity 2)
3 Sb 0.2500 0.2500 0.5000 (multiplicity 4)

Values from the calculation:
Theoretical density = 5166 kg/m³
Uncorrected formation energy = -690.3 meV per atom
DOS(E_F) = 5.2 states/eV per cell



Entry 2:
Density functional theory data (PBE) for Ac3Pt2Rh4 after structural relaxation.

a b c (Å): 4.4269 4.4269 25.3579
angles (deg): 90.00 90.00 120.00
Space group P-6m2 (No. 187)
Unique sites:
1 Ac 0.0000 0.0000 0.0832 (multiplicity 2)
2 Ac 0.0000 0.0000 0.2490 (multiplicity 2)
3 Ac 0.0000 0.0000 0.4122 (multiplicity 2)
4 Pt 0.3333 0.6667 0.5000 (multiplicity 1)
5 Pt 0.6667 0.3333 0.1663 (multiplicity 2)
6 Pt 0.6667 0.3333 0.5000 (multiplicity 1)
7 Rh 0.3333 0.6667 0.0000 (multiplicity 1)
8 Rh 0.3333 0.6667 0.1664 (multiplicity 2)
9 Rh 0.3333 0.6667 0.3331 (multiplicity 2)
10 Rh 0.6667 0.3333 0.0000 (multiplicity 1)
11 Rh 0.6667 0.3333 0.3330 (multiplicity 2)

Values from the calculation:
Theoretical density = 11442 kg/m³
Uncorrected energy = -6.671 eV per atom
DOS(E_F) = 18.4 states/eV per cell



Entry 3:
Density functional theory data (PBE) for Tm6Al5Zn after structural relaxation.

a b c (Å): 5.0327 15.1055 7.0401
angles (deg): 90.00 90.00 90.00
Space group Cmmm (No. 65)
Unique sites:
1 Tm 0.0000 0.0000 0.2466 (multiplicity 4)
2 Tm 0.0000 0.3349 0.2486 (multiplicity 8)
3 Al 0.0000 0.1669 0.0000 (multiplicity 4)
4 Al 0.0000 0.1675 0.5000 (multiplicity 4)
5 Al 0.0000 0.5000 0.5000 (multiplicity 2)
6 Zn 0.0000 0.5000 0.0000 (multiplicity 2)

Values from the calculation:
Theoretical density = 7533 kg/m³
Uncorrected energy = -4.292 eV per atom
DOS(E_F) = 9.1 states/eV per cell



Question: theoretical density of number 1 (CaScSb2)?
Answer: 5166 kg/m³



Question: What is the DOS(E_F) in the third record?
Answer: 9.1 states/eV per cell



Question: What is the DOS(E_F) in the third record?
Answer: 9.1 states/eV per cell



Question: Which of these has the lowest DOS(E_F)?
Answer: CaScSb2